Here is an optimized crystal structure of Rb2GaPbCl5 from Alexandria via LeMat-Bulk. Energies are from PBE.

Summary:
SG ... Cmc2_1, No. 36
Uncorrected formation energy ... -1398.0 meV/atom
DFT total energy ... -3.387 eV per atom

Cell: 9.717 9.717 14.708 Å, 90.00 90.00 153.28°
Atoms (fractional coordinates):
Rb (0.087, 0.913, 0.500)
Rb (0.134, 0.866, 0.138)
Rb (0.866, 0.134, 0.638)
Rb (0.913, 0.087, 0.000)
Ga (0.463, 0.537, 0.292)
Ga (0.537, 0.463, 0.792)
Pb (0.224, 0.776, 0.866)
Pb (0.776, 0.224, 0.366)
Cl (0.077, 0.923, 0.911)
Cl (0.263, 0.737, 0.500)
Cl (0.299, 0.701, 0.239)
Cl (0.376, 0.624, 0.830)
Cl (0.498, 0.502, 0.613)
Cl (0.502, 0.498, 0.113)
Cl (0.624, 0.376, 0.330)
Cl (0.701, 0.299, 0.739)
Cl (0.737, 0.263, 0.000)
Cl (0.923, 0.077, 0.411)